CsCaMoF6, optimized geometry, DFT PBE+U; DOS(E_F) = 0.0000 states/eV per atom; E = -5.47 eV per atom
1.0
-4.001 4.033 5.732
4.001 -4.033 5.732
4.001 4.033 -5.732
Cs Ca Mo F
2 2 2 12
direct
0.397 0.147 0.250 Cs
0.603 0.853 0.750 Cs
0.000 0.500 0.500 Ca
0.500 0.500 0.000 Ca
0.000 0.000 0.500 Mo
0.000 0.500 0.000 Mo
0.060 0.810 0.250 F
0.066 0.420 0.230 F
0.066 0.836 0.646 F
0.310 0.164 0.730 F
0.310 0.580 0.146 F
0.334 0.584 0.750 F
0.666 0.416 0.250 F
0.690 0.420 0.854 F
0.690 0.836 0.270 F
0.934 0.164 0.354 F
0.934 0.580 0.770 F
0.940 0.190 0.750 F